# CaScBe2 PBE optimized geometry
# E_tot ... -3.6348 eV per atom
data_CaScBe2
_chemical_formula_sum 'Ca1 Sc1 Be2'
_space_group_name_H-M_alt 'P 1'
_space_group_IT_number 1
_space_group_name_Hall 'P 1'
_cell_length_a 3.051
_cell_length_b 3.051
_cell_length_c 7.939
_cell_angle_alpha 90.00
_cell_angle_beta 90.00
_cell_angle_gamma 90.00
loop_
_atom_site_label
_atom_site_fract_x
_atom_site_fract_y
_atom_site_fract_z
_atom_site_occupancy
Sc1 0.500 0.500 0.829 1
Be1 0.000 0.000 0.055 1
Be2 0.500 0.500 0.170 1
Ca1 0.000 0.000 0.445 1



# CaScBe2 PBE optimized geometry
# E_tot ... -3.3710 eV per atom
data_CaScBe2
_chemical_formula_sum 'Ca1 Sc1 Be2'
_space_group_name_H-M_alt 'P 1'
_space_group_IT_number 1
_space_group_name_Hall 'P 1'
_cell_length_a 8.303
_cell_length_b 8.303
_cell_length_c 8.303
_cell_angle_alpha 24.11
_cell_angle_beta 24.11
_cell_angle_gamma 24.11
loop_
_atom_site_label
_atom_site_fract_x
_atom_site_fract_y
_atom_site_fract_z
_atom_site_occupancy
Sc1 0.750 0.750 0.750 1
Be1 0.008 0.008 0.008 1
Be2 0.492 0.492 0.492 1
Ca1 0.250 0.250 0.250 1



# Ca2ScBe PBE optimized geometry
# E_tot ... -3.0581 eV per atom
data_Ca2ScBe
_chemical_formula_sum 'Ca2 Sc1 Be1'
_space_group_name_H-M_alt 'P 1'
_space_group_IT_number 1
_space_group_name_Hall 'P 1'
_cell_length_a 5.255
_cell_length_b 5.255
_cell_length_c 5.255
_cell_angle_alpha 60.00
_cell_angle_beta 60.00
_cell_angle_gamma 60.00
loop_
_atom_site_label
_atom_site_fract_x
_atom_site_fract_y
_atom_site_fract_z
_atom_site_occupancy
Sc1 0.750 0.750 0.750 1
Be1 0.500 0.500 0.500 1
Ca1 0.000 0.000 0.000 1
Ca2 0.250 0.250 0.250 1